Record 1
Below is a relaxed structure of Ce2HoTh, with properties calculated at the GGA-PBE level.

Cell lengths 3.476, 3.476, 34.125 Å; angles 90.00, 90.00, 120.00 degrees
Fractional coordinates of all 12 atoms:
Ce (0.000, 0.000, 0.249)
Ce (0.000, 0.000, 0.751)
Ce (0.333, 0.667, 0.418)
Ce (0.333, 0.667, 0.915)
Ce (0.667, 0.333, 0.085)
Ce (0.667, 0.333, 0.582)
Ho (0.000, 0.000, 0.000)
Ho (0.333, 0.667, 0.667)
Ho (0.667, 0.333, 0.333)
Th (0.000, 0.000, 0.500)
Th (0.333, 0.667, 0.167)
Th (0.667, 0.333, 0.833)

Values from the calculation:
Energy, eV per atom: -5.911
Calculated formation energy, meV per atom: 56

***

Record 2
Below is a relaxed structure of TaTcHg2, with properties calculated at the GGA-PBE level.

Cell lengths 9.829, 2.865, 5.304 Å; angles 90.00, 97.46, 90.00 degrees
Fractional coordinates of all 8 atoms:
Ta (0.000, 0.000, 0.000)
Ta (0.500, 0.500, 0.000)
Tc (0.254, 0.000, 0.808)
Tc (0.754, 0.500, 0.808)
Hg (0.009, 0.500, 0.519)
Hg (0.251, 0.500, 0.283)
Hg (0.509, 0.000, 0.519)
Hg (0.751, 0.000, 0.283)

Values from the calculation:
Energy, eV per atom: -5.211
Calculated formation energy, meV per atom: 495

***

Record 3
Below is a relaxed structure of BaLi2TlCd, with properties calculated at the GGA-PBE level.

Cell lengths 5.345, 5.345, 5.638 Å; angles 90.00, 90.00, 90.00 degrees
Fractional coordinates of all 5 atoms:
Ba (0.000, 0.000, 0.000)
Li (0.000, 0.500, 0.500)
Li (0.500, 0.000, 0.500)
Tl (0.500, 0.500, 0.500)
Cd (0.500, 0.500, 0.000)

Values from the calculation:
Energy, eV per atom: -1.902
Calculated formation energy, meV per atom: -96

***

Volume across the listed records, respectively: 357, 148, 161 Å³/cell.